Material: PtRhBr2
Method: DFT, GGA-PBE
State: optimized geometry

a = 2.8787 Å, b = 2.8787 Å, c = 34.5270 Å
α = 90.00°, β = 90.00°, γ = 120.00°
Space group R-3m (No. 166, hexagonal axes)
One atom of each set of equivalent atoms:
Pt 0.0000 0.0000 0.0000 [3 per cell]
Rh 0.0000 0.0000 0.5000 [3 per cell]
Br 0.0000 0.0000 0.4305 [6 per cell]

Calculated values
Raw formation energy = 0.64 eV per atom
Calculated total energy = -3.546 eV per atom